# TlWAu2 (GGA-PBE, optimized geometry)
data_TlWAu2
_cell_length_a 2.977
_cell_length_b 4.983
_cell_length_c 5.123
_cell_angle_alpha 90.00
_cell_angle_beta 90.00
_cell_angle_gamma 90.00
_symmetry_space_group_name_H-M 'P 1'
_symmetry_Int_Tables_number 1
_symmetry_space_group_name_Hall 'P 1'
loop_
_atom_site_label
_atom_site_fract_x
_atom_site_fract_y
_atom_site_fract_z
Tl1 0.500 0.000 0.500
W1 0.000 0.500 0.500
Au1 0.500 0.500 0.000
Au2 0.000 0.000 0.000
# SG: Pmmm (47)
# Crystal system: orthorhombic
# Electronic total energy (eV/atom): -4.798
# Energy above the most stable polymorph in this dataset (meV per atom): 273
# Density (g/cm³): 17.09
# Magnetization (μB per cell): 0.62

# TlWAu2 (GGA-PBE, optimized geometry)
data_TlWAu2
_cell_length_a 5.216
_cell_length_b 5.216
_cell_length_c 5.216
_cell_angle_alpha 132.49
_cell_angle_beta 132.49
_cell_angle_gamma 69.45
_symmetry_space_group_name_H-M 'P 1'
_symmetry_Int_Tables_number 1
_symmetry_space_group_name_Hall 'P 1'
loop_
_atom_site_label
_atom_site_fract_x
_atom_site_fract_y
_atom_site_fract_z
Au1 0.000 0.000 0.000
Au2 0.500 0.500 0.000
Tl1 0.250 0.750 0.500
W1 0.750 0.250 0.500
# SG: I4/mmm (139)
# Crystal system: tetragonal
# Electronic total energy (eV/atom): -4.694
# Energy above the most stable polymorph in this dataset (meV per atom): 378
# Density (g/cm³): 17.16
# Magnetization (μB per cell): 0.89

# TlWAu2 (GGA-PBE, optimized geometry)
data_TlWAu2
_cell_length_a 4.771
_cell_length_b 4.771
_cell_length_c 4.771
_cell_angle_alpha 60.00
_cell_angle_beta 60.00
_cell_angle_gamma 60.00
_symmetry_space_group_name_H-M 'P 1'
_symmetry_Int_Tables_number 1
_symmetry_space_group_name_Hall 'P 1'
loop_
_atom_site_label
_atom_site_fract_x
_atom_site_fract_y
_atom_site_fract_z
Tl1 0.500 0.500 0.500
Au1 0.250 0.250 0.250
Au2 0.750 0.750 0.750
W1 0.000 0.000 0.000
# SG: Fm-3m (225)
# Crystal system: cubic
# Electronic total energy (eV/atom): -4.644
# Energy above the most stable polymorph in this dataset (meV per atom): 427
# Density (g/cm³): 16.92
# Magnetization (μB per cell): 1.97

# TlWAu2 (GGA-PBE, optimized geometry)
data_TlWAu2
_cell_length_a 3.993
_cell_length_b 3.993
_cell_length_c 10.594
_cell_angle_alpha 79.14
_cell_angle_beta 79.14
_cell_angle_gamma 90.00
_symmetry_space_group_name_H-M 'P 1'
_symmetry_Int_Tables_number 1
_symmetry_space_group_name_Hall 'P 1'
loop_
_atom_site_label
_atom_site_fract_x
_atom_site_fract_y
_atom_site_fract_z
Au1 0.136 0.625 0.250
Au2 0.875 0.864 0.750
Au3 0.375 0.386 0.750
Au4 0.614 0.125 0.250
Tl1 0.750 0.250 0.500
Tl2 0.000 0.000 0.000
W1 0.500 0.500 0.000
W2 0.250 0.750 0.500
# SG: I-42d (122)
# Crystal system: tetragonal
# Electronic total energy (eV/atom): -4.551
# Energy above the most stable polymorph in this dataset (meV per atom): 520
# Density (g/cm³): 15.96
# Magnetization (μB per cell): 0.89

# TlWAu2 (GGA-PBE, optimized geometry)
data_TlWAu2
_cell_length_a 9.991
_cell_length_b 9.991
_cell_length_c 9.991
_cell_angle_alpha 17.41
_cell_angle_beta 17.41
_cell_angle_gamma 17.41
_symmetry_space_group_name_H-M 'P 1'
_symmetry_Int_Tables_number 1
_symmetry_space_group_name_Hall 'P 1'
loop_
_atom_site_label
_atom_site_fract_x
_atom_site_fract_y
_atom_site_fract_z
Au1 0.492 0.492 0.492
Au2 0.008 0.008 0.008
W1 0.750 0.750 0.750
Tl1 0.250 0.250 0.250
# SG: R-3m (166)
# Crystal system: trigonal
# Electronic total energy (eV/atom): -4.976
# Energy above the most stable polymorph in this dataset (meV per atom): 95
# Density (g/cm³): 16.68
# Magnetization (μB per cell): 0.00

# TlWAu2 (GGA-PBE, optimized geometry)
data_TlWAu2
_cell_length_a 2.925
_cell_length_b 2.925
_cell_length_c 9.297
_cell_angle_alpha 90.00
_cell_angle_beta 90.00
_cell_angle_gamma 90.00
_symmetry_space_group_name_H-M 'P 1'
_symmetry_Int_Tables_number 1
_symmetry_space_group_name_Hall 'P 1'
loop_
_atom_site_label
_atom_site_fract_x
_atom_site_fract_y
_atom_site_fract_z
Au1 0.000 0.000 0.961
Au2 0.000 0.000 0.539
W1 0.500 0.500 0.750
Tl1 0.500 0.500 0.250
# SG: P4/mmm (123)
# Crystal system: tetragonal
# Electronic total energy (eV/atom): -5.071
# Energy above the most stable polymorph in this dataset (meV per atom): 0
# Density (g/cm³): 16.33
# Magnetization (μB per cell): 0.00

# TlW4Au (GGA-PBE, optimized geometry)
data_TlW4Au
_cell_length_a 5.389
_cell_length_b 5.389
_cell_length_c 5.389
_cell_angle_alpha 60.00
_cell_angle_beta 60.00
_cell_angle_gamma 60.00
_symmetry_space_group_name_H-M 'P 1'
_symmetry_Int_Tables_number 1
_symmetry_space_group_name_Hall 'P 1'
loop_
_atom_site_label
_atom_site_fract_x
_atom_site_fract_y
_atom_site_fract_z
W1 0.873 0.376 0.376
W2 0.376 0.376 0.376
W3 0.376 0.873 0.376
W4 0.376 0.376 0.873
Tl1 0.000 0.000 0.000
Au1 0.750 0.750 0.750
# SG: F-43m (216)
# Crystal system: cubic
# Electronic total energy (eV/atom): -8.730
# Density (g/cm³): 17.06
# Magnetization (μB per cell): 0.00

# TlWAu2 (GGA-PBE, optimized geometry)
data_TlWAu2
_cell_length_a 5.879
_cell_length_b 5.879
_cell_length_c 5.879
_cell_angle_alpha 151.22
_cell_angle_beta 127.48
_cell_angle_gamma 61.00
_symmetry_space_group_name_H-M 'P 1'
_symmetry_Int_Tables_number 1
_symmetry_space_group_name_Hall 'P 1'
loop_
_atom_site_label
_atom_site_fract_x
_atom_site_fract_y
_atom_site_fract_z
Au1 0.009 0.009 0.000
Au2 0.756 0.256 0.500
Tl1 0.494 0.494 0.000
W1 0.241 0.741 0.500
# SG: Imm2 (44)
# Crystal system: orthorhombic
# Electronic total energy (eV/atom): -4.832
# Energy above the most stable polymorph in this dataset (meV per atom): 239
# Density (g/cm³): 16.87
# Magnetization (μB per cell): 0.68

Question: Look up the density of the seventh one.
Answer: 17.06 g/cm³

Copy entry 8 word for word.
# TlWAu2 (GGA-PBE, optimized geometry)
data_TlWAu2
_cell_length_a 5.879
_cell_length_b 5.879
_cell_length_c 5.879
_cell_angle_alpha 151.22
_cell_angle_beta 127.48
_cell_angle_gamma 61.00
_symmetry_space_group_name_H-M 'P 1'
_symmetry_Int_Tables_number 1
_symmetry_space_group_name_Hall 'P 1'
loop_
_atom_site_label
_atom_site_fract_x
_atom_site_fract_y
_atom_site_fract_z
Au1 0.009 0.009 0.000
Au2 0.756 0.256 0.500
Tl1 0.494 0.494 0.000
W1 0.241 0.741 0.500
# SG: Imm2 (44)
# Crystal system: orthorhombic
# Electronic total energy (eV/atom): -4.832
# Energy above the most stable polymorph in this dataset (meV per atom): 239
# Density (g/cm³): 16.87
# Magnetization (μB per cell): 0.68

Question: Which of these has the highest density?
Answer: number 2

Repeat the eighth record exactly.
# TlWAu2 (GGA-PBE, optimized geometry)
data_TlWAu2
_cell_length_a 5.879
_cell_length_b 5.879
_cell_length_c 5.879
_cell_angle_alpha 151.22
_cell_angle_beta 127.48
_cell_angle_gamma 61.00
_symmetry_space_group_name_H-M 'P 1'
_symmetry_Int_Tables_number 1
_symmetry_space_group_name_Hall 'P 1'
loop_
_atom_site_label
_atom_site_fract_x
_atom_site_fract_y
_atom_site_fract_z
Au1 0.009 0.009 0.000
Au2 0.756 0.256 0.500
Tl1 0.494 0.494 0.000
W1 0.241 0.741 0.500
# SG: Imm2 (44)
# Crystal system: orthorhombic
# Electronic total energy (eV/atom): -4.832
# Energy above the most stable polymorph in this dataset (meV per atom): 239
# Density (g/cm³): 16.87
# Magnetization (μB per cell): 0.68